# LuSc2Rh, relaxed, DFT GGA-PBE
data_LuSc2Rh
_cell_length_a 3.311
_cell_length_b 3.311
_cell_length_c 8.034
_cell_angle_alpha 90.00
_cell_angle_beta 90.00
_cell_angle_gamma 90.00
_symmetry_space_group_name_H-M 'P 4/m m m'
_symmetry_Int_Tables_number 123
_symmetry_space_group_name_Hall '-P 4 2'
loop_
_atom_site_label
_atom_site_fract_x
_atom_site_fract_y
_atom_site_fract_z
Lu1 0.000 0.000 0.000
Sc1 0.500 0.500 0.309
Rh1 0.000 0.000 0.500
# Formation enthalpy at 0 K in eV per atom: -0.444
# Total DFT energy (no corrections) in Ry/atom: -0.4835